Entry 1:
Computed, not measured: a relaxed Ca2TbTe4 crystal at the GGA-PBE level of DFT.

a = 4.2439 Å, b = 7.6497 Å, c = 15.2058 Å
α = 90.00°, β = 90.00°, γ = 106.10°
Closest atoms and distances in Å follow each position.
Fractional positions:
Te 0.0341 0.0682 0.2500  2 Tb 3.09, 2 Ca 3.10
Te 0.2106 0.4212 0.6239  2 Tb 3.16, 3 Ca 3.17-3.19
Te 0.9659 0.9318 0.7500  2 Tb 3.09, 2 Ca 3.10
Te 0.5000 0.0000 0.0000  4 Ca 3.12
Te 0.2106 0.4212 0.8761  2 Tb 3.16, 3 Ca 3.17-3.19
Te 0.7894 0.5788 0.3761  2 Tb 3.16, 3 Ca 3.17-3.19
Te 0.5000 0.0000 0.5000  4 Ca 3.12
Te 0.7894 0.5788 0.1239  2 Tb 3.16, 3 Ca 3.17-3.19
Ca 0.1366 0.2731 0.4280  6 Te 3.10-3.19
Ca 0.8634 0.7269 0.5720  6 Te 3.10-3.19
Ca 0.8634 0.7269 0.9280  6 Te 3.10-3.19
Ca 0.1366 0.2731 0.0720  6 Te 3.10-3.19
Tb 0.6184 0.2368 0.7500  6 Te 3.09-3.16
Tb 0.3816 0.7632 0.2500  6 Te 3.09-3.16

E_form (uncorrected) = -1.306 eV/atom
E = -4.334 eV/atom

Entry 2:
Computed, not measured: a relaxed PrHo2PuP4 crystal at the GGA-PBE level of DFT.

a = 4.0526 Å, b = 7.0029 Å, c = 6.9886 Å
α = 109.51°, β = 90.00°, γ = 90.00°
Closest atoms and distances in Å follow each position.
Fractional positions:
P 0.0000 0.7601 0.2578  3 Ho 2.81-2.87, 1 Pu 2.84, 2 Pr 2.91
P 0.5000 0.2432 0.2522  3 Ho 2.81-2.87, 2 Pu 2.85, 1 Pr 2.91
P 0.0000 0.2399 0.7422  3 Ho 2.81-2.87, 1 Pu 2.84, 2 Pr 2.91
P 0.5000 0.7568 0.7478  3 Ho 2.81-2.87, 2 Pu 2.85, 1 Pr 2.91
Ho 0.0000 0.5000 0.5000  6 P 2.87
Ho 0.5000 0.0000 0.5000  6 P 2.81
Pr 0.5000 0.5000 0.0000  6 P 2.91
Pu 0.0000 0.0000 0.0000  6 P 2.84-2.85

DFT formation energy = -1.450 eV per atom
E = -7.688 eV/atom

Entry 3:
Computed, not measured: a relaxed Ho10Sn3Bi3 crystal at the GGA-PBE level of DFT.

a = 6.4427 Å, b = 9.0281 Å, c = 9.0281 Å
α = 120.00°, β = 90.00°, γ = 90.00°
Closest atoms and distances in Å follow each position.
Fractional positions:
Sn 0.0000 0.6085 0.0000  7 Ho 3.09-3.32
Sn 0.0000 0.3915 0.3915  7 Ho 3.09-3.32
Sn 0.0000 0.0000 0.6085  7 Ho 3.09-3.32
Ho 0.7546 0.3333 0.6667  2 Ho 3.16-3.28, 3 Sn 3.20, 3 Bi 3.23
Ho 0.0000 0.7598 0.7598  3 Sn 3.09-3.32
Ho 0.5000 0.2394 0.2394  3 Bi 3.10-3.32
Ho 0.5000 0.7606 0.0000  3 Bi 3.10-3.32
Ho 0.0000 0.2402 0.0000  3 Sn 3.09-3.32
Ho 0.5000 0.0000 0.7606  3 Bi 3.10-3.32
Ho 0.0000 0.0000 0.2402  3 Sn 3.09-3.32
Ho 0.2454 0.6667 0.3333  2 Ho 3.16-3.28, 3 Sn 3.20, 3 Bi 3.23
Ho 0.7546 0.6667 0.3333  2 Ho 3.16-3.28, 3 Sn 3.20, 3 Bi 3.23
Ho 0.2454 0.3333 0.6667  2 Ho 3.16-3.28, 3 Sn 3.20, 3 Bi 3.23
Bi 0.5000 0.0000 0.3933  7 Ho 3.10-3.32
Bi 0.5000 0.3933 0.0000  7 Ho 3.10-3.32
Bi 0.5000 0.6067 0.6067  7 Ho 3.10-3.32

DFT formation energy = -0.699 eV per atom
E = -5.039 eV/atom

Entry 4:
Computed, not measured: a relaxed K2Sn2Se3 crystal at the GGA-PBE level of DFT.

a = 4.1347 Å, b = 7.6277 Å, c = 8.0753 Å
α = 101.83°, β = 104.83°, γ = 90.00°
Closest atoms and distances in Å follow each position.
Fractional positions:
K 0.3774 0.1667 0.7548  5 Se 3.25-3.36
K 0.6226 0.8333 0.2452  5 Se 3.25-3.36
Se 0.0000 0.0000 0.0000  2 Sn 2.80
Se 0.7229 0.2583 0.4459  2 Sn 2.74
Se 0.2771 0.7417 0.5541  2 Sn 2.74
Sn 0.1204 0.3297 0.2408  3 Se 2.74-2.80
Sn 0.8796 0.6703 0.7592  3 Se 2.74-2.80

E_form (uncorrected) = -0.748 eV/atom
E = -3.699 eV/atom

Entry 5:
Computed, not measured: a relaxed Pm8Te4PtS3 crystal at the GGA-PBE level of DFT.

a = 8.4612 Å, b = 8.6808 Å, c = 8.4611 Å
α = 119.17°, β = 120.00°, γ = 90.00°
Closest atoms and distances in Å follow each position.
Fractional positions:
Pm 0.7619 0.2849 0.0230  1 Pt 2.89, 2 S 2.89, 3 Te 3.18-3.19
Pm 0.2381 0.7151 0.9770  1 Pt 2.89, 2 S 2.89, 3 Te 3.18-3.19
Pm 0.7389 0.7151 0.9770  1 Pt 2.89, 2 S 2.89, 3 Te 3.18-3.19
Pm 0.2611 0.2849 0.0230  1 Pt 2.89, 2 S 2.89, 3 Te 3.18-3.19
Pm 0.7619 0.2849 0.5238  1 Pt 2.89, 2 S 2.89, 3 Te 3.18-3.19
Pm 0.2639 0.2916 0.5278  3 S 2.86
Pm 0.7361 0.7084 0.4722  3 S 2.86
Pm 0.2381 0.7151 0.4762  1 Pt 2.89, 2 S 2.89, 3 Te 3.18-3.19
Te 0.5000 0.0000 0.5000  6 Pm 3.18-3.22
Te 0.5000 0.0000 0.0000  6 Pm 3.19
Te 0.0000 0.0000 0.0000  6 Pm 3.18-3.22
Te 0.0000 0.0000 0.5000  6 Pm 3.18-3.22
Pt 0.0000 0.5000 0.0000  6 Pm 2.89
S 0.0000 0.5000 0.5000  6 Pm 2.86-2.89
S 0.5000 0.5000 0.5000  6 Pm 2.86-2.89
S 0.5000 0.5000 0.0000  6 Pm 2.86-2.89

E_form (uncorrected) = -1.619 eV/atom
E = -5.931 eV/atom

Entry 6:
Computed, not measured: a relaxed NbMoAs2Se crystal at the GGA-PBE level of DFT.

a = 4.9791 Å, b = 4.7289 Å, c = 4.9791 Å
α = 90.00°, β = 90.00°, γ = 90.00°
Closest atoms and distances in Å follow each position.
Fractional positions:
Se 0.0000 0.0000 0.0000  2 Nb 2.36, 4 As 2.49
As 0.5000 0.0000 0.0000  2 Se 2.49
As 0.0000 0.0000 0.5000  2 Se 2.49
Mo 0.5000 0.5000 0.5000  8 As 3.43, 4 Nb 3.52
Nb 0.0000 0.5000 0.0000  2 Se 2.36

energy above the lowest structure with this stoichiometry = 564 meV/atom
E_form (uncorrected) = 1.353 eV/atom
E = -5.384 eV/atom

Entry 7:
Computed, not measured: a relaxed Sm2Ho5Er6 crystal at the GGA-PBE level of DFT.

a = 3.5539 Å, b = 11.5854 Å, c = 20.0565 Å
α = 90.00°, β = 90.00°, γ = 90.00°
Closest atoms and distances in Å follow each position.
Fractional positions:
Ho 0.5000 0.0912 0.2247  5 Er 3.29-3.43, 4 Sm 3.49-3.54, 2 Ho 3.55
Ho 0.5000 0.9088 0.7753  5 Er 3.29-3.43, 4 Sm 3.49-3.54, 2 Ho 3.55
Ho 0.5000 0.8007 0.0496  7 Er 3.52-3.89, 3 Ho 3.55-3.62, 2 Sm 3.74
Ho 0.5000 0.3007 0.4504  7 Er 3.52-3.89, 3 Ho 3.55-3.62, 2 Sm 3.74
Ho 0.5000 0.1993 0.9504  7 Er 3.52-3.89, 3 Ho 3.55-3.62, 2 Sm 3.74
Ho 0.5000 0.0000 0.5000  6 Er 3.32-3.33, 4 Ho 3.55-3.62
Ho 0.5000 0.5000 0.0000  6 Er 3.32-3.33, 4 Ho 3.55-3.62
Ho 0.5000 0.5912 0.2753  5 Er 3.29-3.43, 4 Sm 3.49-3.54, 2 Ho 3.55
Ho 0.5000 0.6993 0.5496  7 Er 3.52-3.89, 3 Ho 3.55-3.62, 2 Sm 3.74
Ho 0.5000 0.4088 0.7247  5 Er 3.29-3.43, 4 Sm 3.49-3.54, 2 Ho 3.55
Er 0.5000 0.6762 0.8693  2 Ho 3.29-3.32, 4 Er 3.47-3.55, 2 Sm 3.61
Er 0.0000 0.9414 0.9204  6 Ho 3.43-3.54, 5 Er 3.47-3.69, 1 Sm 3.74
Er 0.0000 0.9188 0.6322  6 Ho 3.33-3.52, 1 Sm 3.33, 4 Er 3.47-3.55
Er 0.0000 0.5586 0.4204  6 Ho 3.43-3.54, 5 Er 3.47-3.69, 1 Sm 3.74
Er 0.5000 0.1762 0.6307  2 Ho 3.29-3.32, 4 Er 3.47-3.55, 2 Sm 3.61
Er 0.0000 0.5812 0.1322  6 Ho 3.33-3.52, 1 Sm 3.33, 4 Er 3.47-3.55
Er 0.0000 0.0812 0.3678  6 Ho 3.33-3.52, 1 Sm 3.33, 4 Er 3.47-3.55
Er 0.0000 0.4414 0.5796  6 Ho 3.43-3.54, 5 Er 3.47-3.69, 1 Sm 3.74
Er 0.5000 0.8238 0.3693  2 Ho 3.29-3.32, 4 Er 3.47-3.55, 2 Sm 3.61
Er 0.0000 0.0586 0.0796  6 Ho 3.43-3.54, 5 Er 3.47-3.69, 1 Sm 3.74
Er 0.5000 0.3238 0.1307  2 Ho 3.29-3.32, 4 Er 3.47-3.55, 2 Sm 3.61
Er 0.0000 0.4188 0.8678  6 Ho 3.33-3.52, 1 Sm 3.33, 4 Er 3.47-3.55
Sm 0.0000 0.6673 0.7128  3 Er 3.33-3.61, 4 Ho 3.49-3.54, 2 Sm 3.55
Sm 0.0000 0.3327 0.2872  3 Er 3.33-3.61, 4 Ho 3.49-3.54, 2 Sm 3.55
Sm 0.0000 0.8327 0.2128  3 Er 3.33-3.61, 4 Ho 3.49-3.54, 2 Sm 3.55
Sm 0.0000 0.1673 0.7872  3 Er 3.33-3.61, 4 Ho 3.49-3.54, 2 Sm 3.55

DFT formation energy = 0.100 eV per atom
E = -4.492 eV/atom

Entry 8:
Computed, not measured: a relaxed LiTb3Ho3Se8 crystal at the GGA-PBE level of DFT.

a = 8.0988 Å, b = 8.0986 Å, c = 8.1064 Å
α = 119.97°, β = 90.00°, γ = 120.01°
Closest atoms and distances in Å follow each position.
Fractional positions:
Se 0.2471 0.9978 0.7449  1 Li 2.83, 2 Ho 2.85, 2 Tb 2.88
Se 0.2471 0.4942 0.7450  1 Li 2.83, 2 Ho 2.85, 2 Tb 2.88
Se 0.7490 0.4980 0.7469  3 Ho 2.85, 3 Tb 2.88
Se 0.2494 0.0022 0.2551  1 Li 2.83, 2 Ho 2.85, 2 Tb 2.88
Se 0.2510 0.5020 0.2531  3 Ho 2.85, 3 Tb 2.88
Se 0.7529 0.5058 0.2550  1 Li 2.83, 2 Ho 2.85, 2 Tb 2.88
Se 0.7506 0.9978 0.7449  1 Li 2.83, 2 Ho 2.85, 2 Tb 2.88
Se 0.7529 0.0022 0.2551  1 Li 2.83, 2 Ho 2.85, 2 Tb 2.88
Ho 0.5000 0.0000 0.5000  6 Se 2.85
Ho 0.5000 0.5000 0.5000  6 Se 2.85
Ho 0.0000 0.5000 0.5000  6 Se 2.85
Tb 0.5000 0.5000 0.0000  6 Se 2.88
Tb 0.0000 0.0000 0.0000  6 Se 2.88
Tb 0.0000 0.5000 0.0000  6 Se 2.88
Li 0.0000 0.0000 0.5000  6 Se 2.83

E_form (uncorrected) = -1.792 eV/atom
E = -5.620 eV/atom

Entry 9:
Computed, not measured: a relaxed Pd3SCl crystal at the GGA-PBE level of DFT.

a = 4.5699 Å, b = 4.5699 Å, c = 4.5699 Å
α = 90.00°, β = 90.00°, γ = 90.00°
Closest atoms and distances in Å follow each position.
Fractional positions:
S 0.0000 0.0000 0.0000  6 Pd 2.28
Pd 0.0000 0.5000 0.0000  2 S 2.28
Pd 0.0000 0.0000 0.5000  2 S 2.28
Pd 0.5000 0.0000 0.0000  2 S 2.28
Cl 0.5000 0.5000 0.5000  12 Pd 3.23

energy above the lowest structure with this stoichiometry = 0 meV/atom
E_form (uncorrected) = 0.056 eV/atom
E = -4.255 eV/atom

Entry 10:
Computed, not measured: a relaxed MnNi2Br crystal at the GGA-PBE level of DFT.

a = 7.8227 Å, b = 7.8227 Å, c = 7.8227 Å
α = 22.10°, β = 22.10°, γ = 22.10°
Closest atoms and distances in Å follow each position.
Fractional positions:
Mn 0.7500 0.7500 0.7500  6 Ni 2.49
Br 0.2500 0.2500 0.2500  6 Ni 2.66
Ni 0.4951 0.4951 0.4951  3 Mn 2.49, 3 Br 2.66
Ni 0.0049 0.0049 0.0049  3 Mn 2.49, 3 Br 2.66

energy above the lowest structure with this stoichiometry = 200 meV/atom
E_form (uncorrected) = 0.419 eV/atom
E = -5.182 eV/atom

Entry 11:
Computed, not measured: a relaxed Th3Al9Re2 crystal at the GGA-PBE level of DFT.

a = 4.4459 Å, b = 8.3230 Å, c = 8.3230 Å
α = 71.32°, β = 74.51°, γ = 74.51°
Closest atoms and distances in Å follow each position.
Fractional positions:
Re 0.5000 0.3255 0.6745  8 Al 2.62-2.79
Re 0.5000 0.6745 0.3255  8 Al 2.62-2.79
Al 0.6513 0.9918 0.7056  1 Re 2.62, 3 Al 2.63-2.78
Al 0.1221 0.1614 0.5945  3 Al 2.62-2.63, 2 Re 2.75
Al 0.6513 0.7056 0.9918  1 Re 2.62, 3 Al 2.63-2.78
Al 0.8779 0.8386 0.4055  3 Al 2.62-2.63, 2 Re 2.75
Al 0.3487 0.2944 0.0082  1 Re 2.62, 3 Al 2.63-2.78
Al 0.8779 0.4055 0.8386  3 Al 2.62-2.63, 2 Re 2.75
Al 0.3487 0.0082 0.2944  1 Re 2.62, 3 Al 2.63-2.78
Al 0.1221 0.5945 0.1614  3 Al 2.62-2.63, 2 Re 2.75
Al 0.0000 0.5000 0.5000  4 Al 2.62, 4 Re 2.79
Th 0.6995 0.3005 0.3005  2 Re 3.06, 10 Al 3.22-3.38
Th 0.0000 0.0000 0.0000  12 Al 3.16-3.26
Th 0.3005 0.6995 0.6995  2 Re 3.06, 10 Al 3.22-3.38

DFT formation energy = -0.398 eV per atom
E = -6.172 eV/atom

Entry 12:
Computed, not measured: a relaxed KSmAgSe2 crystal at the GGA-PBE level of DFT.

a = 5.0340 Å, b = 7.7171 Å, c = 8.2238 Å
α = 98.50°, β = 90.00°, γ = 90.00°
Closest atoms and distances in Å follow each position.
Fractional positions:
K 0.1226 0.5000 0.7500  6 Se 3.47-3.51
K 0.8774 0.5000 0.2500  6 Se 3.47-3.51
Se 0.6289 0.7490 0.9667  1 Ag 2.68, 2 Sm 2.88-2.89
Se 0.3711 0.2510 0.0333  1 Ag 2.68, 2 Sm 2.88-2.89
Se 0.6289 0.2510 0.5333  1 Ag 2.68, 2 Sm 2.88-2.89
Se 0.3711 0.7490 0.4667  1 Ag 2.68, 2 Sm 2.88-2.89
Sm 0.4937 0.0000 0.2500  4 Se 2.88-2.89, 2 Ag 3.23
Sm 0.5063 0.0000 0.7500  4 Se 2.88-2.89, 2 Ag 3.23
Ag 0.0000 0.0000 0.5000  2 Se 2.68
Ag 0.0000 0.0000 0.0000  2 Se 2.68

E_form (uncorrected) = -1.039 eV/atom
E = -4.167 eV/atom